# TlNiSeO4

A relaxed structure of TlNiSeO4 (GGA+U, Alexandria).

## Properties
Its uncorrected energy is -4.463 eV/atom.

Cell: 5.971 5.971 5.971 Å, 60.00 60.00 60.00°
Each line ends with the local moment (μB).
Sites, in units of the cell vectors:
Se 0.250 0.250 0.250  -0.04
Ni 0.500 0.500 0.500  1.49
O 0.371 0.371 0.371  0.01
Tl 0.750 0.750 0.750  0.00
O 0.371 0.888 0.371  0.01
O 0.888 0.371 0.371  0.01
O 0.371 0.371 0.888  0.01